Entry 1:
VASP calculation (PBE) on a geometry-optimized LiZn2Au structure.

Properties
- V: 194 Å³/cell

CIF file:
```
data_LiZn2Au
_cell_length_a 2.8446
_cell_length_b 2.8446
_cell_length_c 27.6298
_cell_angle_alpha 90.00
_cell_angle_beta 90.00
_cell_angle_gamma 120.00
_space_group_name_H-M_alt 'R -3 m'
_space_group_IT_number 166
_space_group_name_Hall '-R 3 2"'
loop_
_atom_site_label
_atom_site_type_symbol
_atom_site_fract_x
_atom_site_fract_y
_atom_site_fract_z
_atom_site_occupancy
Li1 Li 0.0000 0.0000 0.0000 1
Zn1 Zn 0.0000 0.0000 0.2517 1
Au1 Au 0.0000 0.0000 0.5000 1
```

***

Entry 2:
VASP calculation (PBE) on a geometry-optimized ZrScAu2 structure.

Properties
- V: 306 Å³/cell

CIF file:
```
data_ZrScAu2
_cell_length_a 6.736
_cell_length_b 6.736
_cell_length_c 6.736
_cell_angle_alpha 90.00
_cell_angle_beta 90.00
_cell_angle_gamma 90.00
_space_group_name_H-M_alt 'F -4 3 m'
_space_group_IT_number 216
_space_group_name_Hall 'F -4 2 3'
loop_
_atom_site_label
_atom_site_type_symbol
_atom_site_fract_x
_atom_site_fract_y
_atom_site_fract_z
_atom_site_occupancy
Zr1 Zr 0.000 0.000 0.000 1
Sc1 Sc 0.250 0.250 0.750 1
Au1 Au 0.000 0.000 0.500 1
Au2 Au 0.250 0.250 0.250 1
```

***

It is found that the raw total energy values, taken in the order of the records, are -2.063; -5.733 eV per atom.
It is found that the formation enthalpy at 0 K values, taken in the order of the records, are -2.959; -8.628 kcal/mol of atoms.
It is found that the energy above the most stable polymorph in this dataset values, taken in the order of the records, are 234; 259 meV/atom.